Record 1
Material: ScSnRh
Method: DFT, PBE-GGA
State: optimized geometry

Cell lengths 5.9273, 5.9273, 5.9273 Å; angles 148.51, 148.51, 45.13 degrees
Element x y z (fractional)
Sc: 0.0000 0.0000 0.0000
Sn: 0.3026 0.3026 0.0000
Rh: 0.6506 0.6506 0.0000

The value obtained for the density of states at the Fermi level is 0.446 states/eV per atom. The total magnetic moment comes out at 0.000 μB/f.u. The value obtained for the formation energy is -0.6751 eV/atom.

***

Record 2
Material: Na3ScBe
Method: DFT, PBE-GGA
State: optimized geometry

Cell lengths 5.2861, 5.2861, 5.2861 Å; angles 90.00, 90.00, 90.00 degrees
Element x y z (fractional)
Na: 0.0000 0.0000 0.5000
Na: 0.0000 0.5000 0.0000
Na: 0.5000 0.0000 0.0000
Sc: 0.5000 0.5000 0.5000
Be: 0.0000 0.0000 0.0000

The value obtained for the density of states at the Fermi level is 1.019 states/eV per atom. The total magnetic moment comes out at 0.619 μB/f.u. The value obtained for the formation energy is 0.8732 eV/atom.

***

Record 3
Material: YCd2W
Method: DFT, PBE-GGA
State: optimized geometry

Cell lengths 5.4108, 5.4108, 5.4108 Å; angles 132.37, 132.37, 69.65 degrees
Element x y z (fractional)
Y: 0.0000 0.0000 0.0000
Cd: 0.2500 0.7500 0.5000
Cd: 0.7500 0.2500 0.5000
W: 0.5000 0.5000 0.0000

The value obtained for the density of states at the Fermi level is 1.019 states/eV per atom. The total magnetic moment comes out at 1.157 μB/f.u. The value obtained for the formation energy is 0.3947 eV/atom.

***

Record 4
Material: LiPr3H
Method: DFT, PBE-GGA
State: optimized geometry

Cell lengths 5.0981, 5.0981, 5.0981 Å; angles 90.00, 90.00, 90.00 degrees
Element x y z (fractional)
Li: 0.0000 0.0000 0.0000
Pr: 0.0000 0.5000 0.5000
Pr: 0.5000 0.0000 0.5000
Pr: 0.5000 0.5000 0.0000
H: 0.5000 0.5000 0.5000

The value obtained for the density of states at the Fermi level is 1.310 states/eV per atom. The total magnetic moment comes out at 0.000 μB/f.u. The calculated total energy is -0.2917 Ry per atom.

***

Record 5
Material: Na3AsAu
Method: DFT, PBE-GGA
State: optimized geometry

Cell lengths 5.5094, 5.5094, 5.5094 Å; angles 90.00, 90.00, 90.00 degrees
Element x y z (fractional)
Na: 0.0000 0.0000 0.5000
Na: 0.0000 0.5000 0.0000
Na: 0.5000 0.0000 0.0000
As: 0.0000 0.0000 0.0000
Au: 0.5000 0.5000 0.5000

The value obtained for the density of states at the Fermi level is 0.923 states/eV per atom. The total magnetic moment comes out at 0.998 μB/f.u. The value obtained for the formation energy is -0.0023 eV/atom.

***

Record 6
Material: Ba4Sr5Ca3
Method: DFT, PBE-GGA
State: optimized geometry

Cell lengths 7.2945, 8.5863, 11.1295 Å; angles 78.90, 72.62, 89.99 degrees
Element x y z (fractional)
Ba: 0.0037 0.1726 0.3288
Ba: 0.4943 0.0907 0.6686
Ba: 0.5057 0.9093 0.3314
Ba: 0.9963 0.8274 0.6712
Sr: 0.0000 0.5000 0.0000
Sr: 0.0036 0.3386 0.6693
Sr: 0.4946 0.7458 0.0014
Sr: 0.5054 0.2542 0.9986
Sr: 0.9964 0.6614 0.3307
Ca: 0.0000 0.0000 0.0000
Ca: 0.4972 0.4202 0.3337
Ca: 0.5028 0.5798 0.6663

The value obtained for the density of states at the Fermi level is 1.227 states/eV per atom. The total magnetic moment comes out at 0.000 μB/f.u. The value obtained for the formation energy is 0.0244 eV/atom.